(1)
BeNi2BiP | PBE | relaxed

POSCAR file:
```
BeNi2BiP
1.0
4.0997 0.0000 0.0000
0.0000 4.9525 0.0000
0.0000 0.0000 4.0997
Ni Bi P Be
2 1 1 1
Direct
0.5000 0.0000 0.0000 Ni
0.0000 0.0000 0.5000 Ni
0.0000 0.5000 0.0000 Bi
0.5000 0.5000 0.5000 P
0.0000 0.0000 0.0000 Be
```

Summary:
For the density of states at the Fermi level, the calculation gives 0.9 states/eV per cell. As for the symmetry: P4/mmm, No. 123. The formation energy is 0.684 eV per atom.

(2)
Be2NiBiPd | PBE | relaxed

POSCAR file:
```
Be2NiBiPd
1.0
-3.7271 -1.3026 2.3361
2.6813 -0.8101 3.8261
-0.6519 4.3283 1.3733
Be Pd Ni Bi
2 1 1 1
Direct
0.0000 0.0000 0.5000 Be
0.5000 0.0000 0.0000 Be
0.5000 0.5000 0.5000 Pd
0.0000 0.5000 0.0000 Ni
0.0000 0.0000 0.0000 Bi
```

Summary:
For the density of states at the Fermi level, the calculation gives 2.5 states/eV per cell. As for the symmetry: P4/mmm, No. 123. The formation energy is 1.330 eV per atom.

(3)
Be2NiSnBi | PBE | relaxed

POSCAR file:
```
Be2NiSnBi
1.0
-0.7424 3.5924 2.5579
-0.9099 -3.7866 5.0539
4.3637 0.2233 0.9530
Ni Sn Bi Be
1 1 1 2
Direct
0.5000 0.5000 0.5000 Ni
0.0000 0.5000 0.0000 Sn
0.0000 0.0000 0.0000 Bi
0.0000 0.0000 0.5000 Be
0.5000 0.0000 0.0000 Be
```

Summary:
For the density of states at the Fermi level, the calculation gives 2.8 states/eV per cell. As for the symmetry: P4/mmm, No. 123. The formation energy is 1.493 eV per atom.

(4)
BeNiBi2W | PBE | relaxed

POSCAR file:
```
BeNiBi2W
1.0
5.3046 0.0000 0.0000
0.0000 4.4682 0.0000
0.0000 0.0000 5.3046
Bi Ni W Be
2 1 1 1
Direct
0.0000 0.0000 0.5000 Bi
0.5000 0.0000 0.0000 Bi
0.5000 0.5000 0.5000 Ni
0.0000 0.0000 0.0000 W
0.0000 0.5000 0.0000 Be
```

Summary:
For the density of states at the Fermi level, the calculation gives 9.3 states/eV per cell. As for the symmetry: P4/mmm, No. 123. The formation energy is 1.281 eV per atom.

(5)
YBeNi2Bi | PBE | relaxed

POSCAR file:
```
YBeNi2Bi
1.0
4.7796 0.0000 0.0000
0.0000 5.8440 0.0000
0.0000 0.0000 4.7796
Ni Be Bi Y
2 1 1 1
Direct
0.0000 0.0000 0.5000 Ni
0.5000 0.0000 0.0000 Ni
0.5000 0.5000 0.5000 Be
0.0000 0.0000 0.0000 Bi
0.0000 0.5000 0.0000 Y
```

Summary:
For the density of states at the Fermi level, the calculation gives 6.5 states/eV per cell. As for the symmetry: P4/mmm, No. 123. The formation energy is 1.113 eV per atom.

(6)
NpBe2BiO8 | PBE | relaxed

POSCAR file:
```
NpBe2BiO8
1.0
-5.1830 -0.2477 0.9512
2.5887 -4.2936 -1.6412
1.2502 -1.6827 6.3742
Np O Be Bi
1 8 2 1
Direct
0.0000 0.0000 0.0000 Np
0.6694 0.8347 0.8016 O
0.1653 0.3306 0.8016 O
0.3306 0.1653 0.1984 O
0.8347 0.1653 0.1984 O
0.1653 0.8347 0.8016 O
0.6667 0.3333 0.5107 O
0.3333 0.6667 0.4893 O
0.8347 0.6694 0.1984 O
0.3333 0.6667 0.7283 Be
0.6667 0.3333 0.2717 Be
0.0000 0.0000 0.5000 Bi
```

Summary:
For the density of states at the Fermi level, the calculation gives 4.6 states/eV per cell. As for the symmetry: P-3m1, No. 164. The calculation puts the uncorrected formation energy at -1.709 eV per atom.

(7)
BeBi2O | PBE | relaxed

POSCAR file:
```
BeBi2O
1.0
5.4046 0.0000 0.0000
0.0000 5.4046 0.0000
2.7023 2.7023 6.2300
O Bi Be
2 4 2
Direct
0.0000 0.0000 0.0000 O
0.7500 0.2500 0.5000 O
0.3750 0.3524 0.7500 Bi
0.1024 0.6250 0.2500 Bi
0.6476 0.1250 0.2500 Bi
0.8750 0.8976 0.7500 Bi
0.5000 0.5000 0.0000 Be
0.2500 0.7500 0.5000 Be
```

Summary:
For the density of states at the Fermi level, the calculation gives 0.9 states/eV per cell. As for the symmetry: I-42d, No. 122. The calculation puts the uncorrected formation energy at 0.011 eV per atom. As for the energy above the most stable polymorph in this dataset: 0.000 eV/atom.

(8)
BeBiO3 | PBE | relaxed

POSCAR file:
```
BeBiO3
1.0
-0.2060 -2.8464 -3.0491
3.7576 -1.4520 1.1015
-1.8108 -2.6891 2.6327
Bi Be O
1 1 3
Direct
0.0000 0.0000 0.0000 Bi
0.5000 0.5000 0.5000 Be
0.0000 0.0000 0.5000 O
0.0000 0.5000 0.0000 O
0.5000 0.0000 0.0000 O
```

Summary:
For the density of states at the Fermi level, the calculation gives 1.5 states/eV per cell. As for the symmetry: Pm-3m, No. 221. The calculation puts the uncorrected formation energy at -0.007 eV per atom.

(9)
BeBiO3 | PBE | relaxed

POSCAR file:
```
BeBiO3
1.0
5.1215 0.0000 0.0000
0.0000 6.5164 -0.9168
0.0000 -2.3885 7.9906
O Bi Be
12 4 4
Direct
0.3502 0.6351 0.9736 O
0.9027 0.0948 0.6958 O
0.9276 0.7625 0.8760 O
0.4027 0.9052 0.8042 O
0.1498 0.6351 0.4736 O
0.5724 0.7625 0.3760 O
0.0973 0.9052 0.3042 O
0.0724 0.2375 0.1240 O
0.4276 0.2375 0.6240 O
0.8502 0.3649 0.5264 O
0.5973 0.0948 0.1958 O
0.6498 0.3649 0.0264 O
0.2241 0.2522 0.3782 Bi
0.7759 0.7478 0.6218 Bi
0.2759 0.2522 0.8782 Bi
0.7241 0.7478 0.1218 Bi
0.2691 0.7766 0.3859 Be
0.7691 0.2234 0.1141 Be
0.7309 0.2234 0.6141 Be
0.2309 0.7766 0.8859 Be
```

Summary:
For the density of states at the Fermi level, the calculation gives 3.0 states/eV per cell. As for the symmetry: P2_1/c, No. 14. The calculation puts the uncorrected formation energy at -1.515 eV per atom.

(10)
Be2BiO | PBE | relaxed

POSCAR file:
```
Be2BiO
1.0
0.0000 3.0556 3.0556
3.0556 0.0000 3.0556
3.0556 3.0556 0.0000
Be O Bi
2 1 1
Direct
0.7500 0.7500 0.7500 Be
0.2500 0.2500 0.2500 Be
0.0000 0.0000 0.0000 O
0.5000 0.5000 0.5000 Bi
```

Summary:
For the density of states at the Fermi level, the calculation gives 2.6 states/eV per cell. As for the symmetry: Fm-3m, No. 225. The calculation puts the uncorrected formation energy at 0.758 eV per atom. As for the energy above the most stable polymorph in this dataset: 1.451 eV/atom.

(11)
Be2BiO4 | PBE | relaxed

POSCAR file:
```
Be2BiO4
1.0
4.3709 0.0000 0.0000
0.0000 4.3709 0.0000
2.1855 2.1855 4.7413
O Be Bi
4 2 1
Direct
0.7758 0.7758 0.4484 O
0.0000 0.5000 0.0000 O
0.5000 0.0000 0.0000 O
0.2242 0.2242 0.5516 O
0.6296 0.6296 0.7409 Be
0.3704 0.3704 0.2591 Be
0.0000 0.0000 0.0000 Bi
```

Summary:
For the density of states at the Fermi level, the calculation gives 2.7 states/eV per cell. As for the symmetry: I4/mmm, No. 139. The calculation puts the uncorrected formation energy at -0.814 eV per atom.

(12)
BeBi12O20 | PBE | relaxed

POSCAR file:
```
BeBi12O20
1.0
8.7376 0.0000 0.0000
-2.9125 8.2379 0.0000
-2.9125 -4.1189 7.1342
O Bi Be
20 12 1
Direct
0.8053 0.0000 0.0000 O
0.0000 0.3895 0.0000 O
0.6146 0.2258 0.8735 O
0.1265 0.3523 0.7411 O
0.0000 0.0000 0.3895 O
0.6105 0.6105 0.6105 O
0.6112 0.3854 0.2589 O
0.3854 0.2589 0.6112 O
0.0000 0.0000 0.8053 O
0.3888 0.6477 0.7742 O
0.7411 0.1265 0.3523 O
0.0000 0.8053 0.0000 O
0.1947 0.1947 0.1947 O
0.2258 0.8735 0.6146 O
0.7742 0.3888 0.6477 O
0.8735 0.6146 0.2258 O
0.2589 0.6112 0.3854 O
0.3895 0.0000 0.0000 O
0.6477 0.7742 0.3888 O
0.3523 0.7411 0.1265 O
0.1664 0.3057 0.4861 Bi
0.8336 0.3197 0.1393 Bi
0.3057 0.4861 0.1664 Bi
0.8196 0.6803 0.5139 Bi
0.8607 0.1804 0.6943 Bi
0.4861 0.1664 0.3057 Bi
0.1393 0.8336 0.3197 Bi
0.3197 0.1393 0.8336 Bi
0.1804 0.6943 0.8607 Bi
0.5139 0.8196 0.6803 Bi
0.6803 0.5139 0.8196 Bi
0.6943 0.8607 0.1804 Bi
0.0000 0.0000 0.0000 Be
```

Summary:
For the density of states at the Fermi level, the calculation gives 19.0 states/eV per cell. As for the symmetry: I23, No. 197. The calculation puts the uncorrected formation energy at -1.204 eV per atom.

(13)
BeBi2O | PBE | relaxed

POSCAR file:
```
BeBi2O
1.0
1.5597 -1.8410 4.0208
-2.8821 -0.3774 3.6796
-1.4976 -4.2233 1.3816
O Bi Be
1 2 1
Direct
0.5000 0.5000 0.5000 O
0.7500 0.7500 0.7500 Bi
0.2500 0.2500 0.2500 Bi
0.0000 0.0000 0.0000 Be
```

Summary:
For the density of states at the Fermi level, the calculation gives 2.6 states/eV per cell. As for the symmetry: Fm-3m, No. 225. The calculation puts the uncorrected formation energy at 0.302 eV per atom. As for the energy above the most stable polymorph in this dataset: 0.292 eV/atom.

(14)
Be2BiO | PBE | relaxed

POSCAR file:
```
Be2BiO
1.0
4.7284 0.0000 0.0000
0.0000 4.7284 0.0000
2.3642 2.3642 4.8997
Be O Bi
4 2 2
Direct
0.3304 0.1250 0.2500 Be
0.3750 0.6696 0.7500 Be
0.4196 0.6250 0.2500 Be
0.8750 0.5804 0.7500 Be
0.5000 0.5000 0.0000 O
0.2500 0.7500 0.5000 O
0.0000 0.0000 0.0000 Bi
0.7500 0.2500 0.5000 Bi
```

Summary:
For the density of states at the Fermi level, the calculation gives 1.5 states/eV per cell. As for the symmetry: I-42d, No. 122. The calculation puts the uncorrected formation energy at -0.693 eV per atom. As for the energy above the most stable polymorph in this dataset: 0.000 eV/atom.

(15)
BeBiO3 | PBE | relaxed

POSCAR file:
```
BeBiO3
1.0
-2.5308 0.7367 -2.4917
2.4580 -0.4490 -2.6293
-0.8425 -3.5230 -0.1859
O Be Bi
3 1 1
Direct
0.5000 0.0000 0.0000 O
0.0000 0.5000 0.0000 O
0.0000 0.0000 0.5000 O
0.0000 0.0000 0.0000 Be
0.5000 0.5000 0.5000 Bi
```

Summary:
For the density of states at the Fermi level, the calculation gives 3.3 states/eV per cell. As for the symmetry: Pm-3m, No. 221. The calculation puts the uncorrected formation energy at -1.209 eV per atom.

(16)
BeBiOsO2 | PBE | relaxed

POSCAR file:
```
BeBiOsO2
1.0
-1.4864 -1.3134 -3.1888
-1.2221 -5.4502 2.8145
-3.3698 1.2920 1.0386
O Bi Os Be
2 1 1 1
Direct
0.5000 0.0000 0.0000 O
0.0000 0.0000 0.5000 O
0.0000 0.5000 0.0000 Bi
0.0000 0.0000 0.0000 Os
0.5000 0.5000 0.5000 Be
```

Summary:
For the density of states at the Fermi level, the calculation gives 2.9 states/eV per cell. As for the symmetry: P4/mmm, No. 123. The calculation puts the uncorrected formation energy at -0.163 eV per atom.

(17)
Be2BiPO8 | PBE | relaxed

POSCAR file:
```
Be2BiPO8
1.0
4.6118 0.0000 0.0000
-2.3059 3.9939 0.0000
0.0000 0.0000 6.6498
Be O Bi P
2 8 1 1
Direct
0.6667 0.3333 0.2800 Be
0.3333 0.6667 0.7200 Be
0.0374 0.3061 0.6521 O
0.2687 0.9626 0.6521 O
0.6667 0.3333 0.0335 O
0.3061 0.2687 0.3479 O
0.6939 0.7313 0.6521 O
0.3333 0.6667 0.9665 O
0.7313 0.0374 0.3479 O
0.9626 0.6939 0.3479 O
0.0000 0.0000 0.0000 Bi
0.0000 0.0000 0.5000 P
```

Summary:
For the density of states at the Fermi level, the calculation gives 5.5 states/eV per cell. As for the symmetry: P-3, No. 147. The calculation puts the uncorrected formation energy at -1.293 eV per atom.

(18)
PaBe2BiO8 | PBE | relaxed

POSCAR file:
```
PaBe2BiO8
1.0
5.3491 0.0000 0.0000
-2.6746 4.6325 0.0000
0.0000 0.0000 6.5104
Pa O Bi Be
1 8 1 2
Direct
0.0000 0.0000 0.5000 Pa
0.6735 0.8368 0.7599 O
0.3333 0.6667 0.4629 O
0.3265 0.1632 0.2401 O
0.1632 0.8368 0.7599 O
0.1632 0.3265 0.7599 O
0.8368 0.1632 0.2401 O
0.8368 0.6735 0.2401 O
0.6667 0.3333 0.5371 O
0.0000 0.0000 0.0000 Bi
0.6667 0.3333 0.2900 Be
0.3333 0.6667 0.7100 Be
```

Summary:
For the density of states at the Fermi level, the calculation gives 6.4 states/eV per cell. As for the symmetry: P-3m1, No. 164. The calculation puts the uncorrected formation energy at -1.695 eV per atom.

(19)
PaBeBiO6 | PBE | relaxed

POSCAR file:
```
PaBeBiO6
1.0
-0.2342 -4.6942 1.3676
5.1070 -0.3009 -0.1582
-2.3493 1.3795 4.3329
O Be Bi Pa
6 1 1 1
Direct
0.7303 0.3012 0.9964 O
0.7303 0.6952 0.6988 O
0.2697 0.3012 0.3048 O
0.2697 0.0036 0.6988 O
0.7303 0.0036 0.3048 O
0.2697 0.6952 0.9964 O
0.5000 0.0000 0.0000 Be
0.5000 0.6667 0.3333 Bi
0.0000 0.3333 0.6667 Pa
```

Summary:
As for the symmetry: P312, No. 149. The calculation puts the uncorrected formation energy at -2.103 eV per atom.

(20)
Be2BiPdO | PBE | relaxed

POSCAR file:
```
Be2BiPdO
1.0
4.4732 0.0000 0.0000
0.0000 3.9962 0.0000
0.0000 0.0000 4.4732
Bi Be O Pd
1 2 1 1
Direct
0.5000 0.5000 0.5000 Bi
0.5000 0.0000 0.0000 Be
0.0000 0.0000 0.5000 Be
0.0000 0.5000 0.0000 O
0.0000 0.0000 0.0000 Pd
```

Summary:
For the density of states at the Fermi level, the calculation gives 3.8 states/eV per cell. As for the symmetry: P4/mmm, No. 123. The calculation puts the uncorrected formation energy at 0.387 eV per atom.

(21)
BeBiPtO2 | PBE | relaxed

POSCAR file:
```
BeBiPtO2
1.0
4.0713 0.0000 0.0000
0.0000 5.6139 0.0000
0.0000 0.0000 4.0713
Pt O Bi Be
1 2 1 1
Direct
0.0000 0.5000 0.0000 Pt
0.0000 0.0000 0.5000 O
0.5000 0.0000 0.0000 O
0.0000 0.0000 0.0000 Bi
0.5000 0.5000 0.5000 Be
```

Summary:
For the density of states at the Fermi level, the calculation gives 1.8 states/eV per cell. As for the symmetry: P4/mmm, No. 123. The calculation puts the uncorrected formation energy at 0.358 eV per atom.

(22)
BeBiPtO6 | PBE | relaxed

POSCAR file:
```
BeBiPtO6
1.0
5.0142 0.0000 0.0000
-2.5071 4.3424 0.0000
0.0000 0.0000 9.1891
O Pt Be Bi
12 2 2 2
Direct
0.3536 0.3737 0.8630 O
0.9799 0.3536 0.1370 O
0.0201 0.3737 0.6370 O
0.6464 0.6263 0.1370 O
0.6263 0.9799 0.8630 O
0.3737 0.0201 0.1370 O
0.0201 0.6464 0.8630 O
0.9799 0.6263 0.3630 O
0.6263 0.6464 0.6370 O
0.6464 0.0201 0.3630 O
0.3536 0.9799 0.6370 O
0.3737 0.3536 0.3630 O
0.3333 0.6667 0.2500 Pt
0.6667 0.3333 0.7500 Pt
0.6667 0.3333 0.2500 Be
0.3333 0.6667 0.7500 Be
0.0000 0.0000 0.5000 Bi
0.0000 0.0000 0.0000 Bi
```

Summary:
For the density of states at the Fermi level, the calculation gives 9.6 states/eV per cell. As for the symmetry: P-31c, No. 163. The calculation puts the uncorrected formation energy at -0.930 eV per atom.

(23)
Be2BiPtO8 | PBE | relaxed

POSCAR file:
```
Be2BiPtO8
1.0
-4.3969 2.7646 1.0327
1.8543 -3.4528 3.5612
3.3300 4.3635 2.4968
O Be Bi Pt
8 2 1 1
Direct
0.1604 0.3208 0.7796 O
0.3208 0.1604 0.2204 O
0.8396 0.6792 0.2204 O
0.3333 0.6667 0.4517 O
0.6667 0.3333 0.5483 O
0.1604 0.8396 0.7796 O
0.6792 0.8396 0.7796 O
0.8396 0.1604 0.2204 O
0.6667 0.3333 0.2807 Be
0.3333 0.6667 0.7193 Be
0.0000 0.0000 0.5000 Bi
0.0000 0.0000 0.0000 Pt
```

Summary:
For the density of states at the Fermi level, the calculation gives 5.5 states/eV per cell. As for the symmetry: P-3m1, No. 164. The calculation puts the uncorrected formation energy at -0.799 eV per atom.